[1]
# PBEsol ScCdAs2, optimized geometry
# Calculated volume = 19.7 Å³/atom
# Total magnetic moment = 0.0 μB/f.u.
# DFT formation energy = -0.11 eV/atom
# VASP energy = -4.61 eV per atom
# ρ = 6.47 Mg/m³
data_ScCdAs2
_symmetry_space_group_name_H-M 'F -4 3 m'
_symmetry_Int_Tables_number 216
_symmetry_space_group_name_Hall 'F -4 2 3'
_cell_length_a 6.805
_cell_length_b 6.805
_cell_length_c 6.805
_cell_angle_alpha 90.00
_cell_angle_beta 90.00
_cell_angle_gamma 90.00
loop_
_atom_site_label
_atom_site_type_symbol
_atom_site_fract_x
_atom_site_fract_y
_atom_site_fract_z
Sc1 Sc 0.000 0.000 0.000
Cd1 Cd 0.250 0.250 0.250
As1 As 0.000 0.000 0.500
As2 As 0.250 0.250 0.750

---

[2]
# PBEsol Ta2CoRh, optimized geometry
# Calculated volume = 14.7 Å³/atom
# Total magnetic moment = 0.0 μB/f.u.
# DFT formation energy = -0.30 eV/atom
# VASP energy = -10.54 eV per atom
# ρ = 14.80 Mg/m³
data_Ta2CoRh
_symmetry_space_group_name_H-M 'P 1 m 1'
_symmetry_Int_Tables_number 6
_cell_length_a 2.787
_cell_length_b 4.431
_cell_length_c 4.798
_cell_angle_alpha 90.00
_cell_angle_beta 97.46
_cell_angle_gamma 90.00
loop_
_symmetry_equiv_pos_as_xyz
'x,y,z'
'x,-y,z'
loop_
_atom_site_label
_atom_site_type_symbol
_atom_site_fract_x
_atom_site_fract_y
_atom_site_fract_z
Ta1 Ta 0.000 0.000 0.000
Ta2 Ta 0.195 0.500 0.616
Co1 Co 0.571 0.500 0.118
Rh1 Rh 0.619 0.000 0.476